This record from the Alexandria database describes a relaxed structure of K3VCl2F6. The functional is GGA+U.

Properties
The calculation puts the magnetization at 0.0 μB/cell. The total energy comes out at -4.538 eV/atom.

Cell: 15.330 7.573 4.728 Å, 90.00 90.60 90.00°
Space group C2/m (No. 12)
Asymmetric unit:
K1 0.000 0.000 0.000 [2 per cell]
K2 0.250 0.250 0.500 [4 per cell]
V1 0.000 0.500 0.500 [2 per cell]
Cl1 0.195 0.000 0.012 [4 per cell]
F1 0.040 0.327 0.736 [8 per cell]
F2 0.106 0.500 0.331 [4 per cell]